Entry 1:
Computed, not measured: a relaxed structure of Ba3NbAs3O at the GGA-PBE level of DFT.

Cell lengths 6.8172, 11.2542, 13.6779 Å; angles 90.00, 90.00, 90.00 degrees
Element x y z (fractional)
Ba 0.2268 0.2500 0.1280
Ba 0.2433 0.5452 0.3692
Ba 0.2433 0.9548 0.3692
Ba 0.2567 0.0452 0.8692
Ba 0.2567 0.4548 0.8692
Ba 0.2732 0.7500 0.6280
Ba 0.7268 0.2500 0.3720
Ba 0.7433 0.5452 0.1308
Ba 0.7433 0.9548 0.1308
Ba 0.7567 0.0452 0.6308
Ba 0.7567 0.4548 0.6308
Ba 0.7732 0.7500 0.8720
Nb 0.1604 0.2500 0.5454
Nb 0.3396 0.7500 0.0454
Nb 0.6604 0.2500 0.9546
Nb 0.8396 0.7500 0.4546
As 0.2272 0.2500 0.3668
As 0.2366 0.5561 0.1174
As 0.2366 0.9439 0.1174
As 0.2634 0.0561 0.6174
As 0.2634 0.4439 0.6174
As 0.2728 0.7500 0.8668
As 0.7272 0.2500 0.1332
As 0.7366 0.5561 0.3826
As 0.7366 0.9439 0.3826
As 0.7634 0.0561 0.8826
As 0.7634 0.4439 0.8826
As 0.7728 0.7500 0.6332
O 0.1187 0.7500 0.4467
O 0.3813 0.2500 0.9467
O 0.6187 0.7500 0.0533
O 0.8813 0.2500 0.5533

Results
The value obtained for the energy relative to the elements, uncorrected is -1.4362 eV per atom. The space group is Pnma (62).

=====

Entry 2:
Computed, not measured: a relaxed structure of ScBeCd at the GGA-PBE level of DFT.

Cell lengths 3.0887, 3.0887, 10.9653 Å; angles 90.00, 90.00, 90.00 degrees
Element x y z (fractional)
Sc 0.0000 0.0000 0.0000
Sc 0.5000 0.5000 0.5000
Be 0.0000 0.0000 0.6531
Be 0.5000 0.5000 0.1531
Cd 0.0000 0.0000 0.2910
Cd 0.5000 0.5000 0.7910

Results
Its density of states at the Fermi level is 1.96 states/eV/f.u. The formation energy from the elements comes out at 0.024 eV/atom. The space group is I4mm (107).